CaCd8Ag6: optimized geometry, PBE-GGA.

Summary:
- Total magnetic moment: 0.000 μB/f.u.
- Energy of formation from the pure elements: -48.2 meV per atom

Cell: 8.2095 8.2095 17.1875 Å, 90.00 90.00 120.00°
Space group R-3 (No. 148, hexagonal axes)
Symmetry-distinct sites (fractional):
Ca  0.0000  0.0000  0.0000 x3
Cd  0.0000  0.0000  0.2741 x6
Cd  0.0093  0.6579  0.7928 x18
Ag  0.0011  0.2957  0.3759 x18